The following is a DFT calculation (GGA-PBEsol) of an optimized crystal structure of MnPbSe2.

Output
The uncorrected formation energy is -0.274 eV/atom. The density of states at the Fermi level is 0.07 states/eV/f.u. The calculation puts the magnetization at 5.009 μB/f.u.

Lattice parameters (Å, degrees): 3.951 4.333 6.454 90.00 107.77 90.00
Element x y z (fractional)
Mn: 0.000 0.000 0.000
Pb: 0.774 0.500 0.554
Se: 0.098 0.500 0.198
Se: 0.369 0.000 0.737

=====

The following is a DFT calculation (GGA-PBEsol) of an optimized crystal structure of MnPb2Se.

Output
The uncorrected formation energy is -0.003 eV/atom. The density of states at the Fermi level is 3.06 states/eV/f.u. The calculation puts the magnetization at 3.007 μB/f.u.

Lattice parameters (Å, degrees): 3.427 3.427 27.569 90.00 90.00 120.00
Element x y z (fractional)
Mn: 0.000 0.000 0.000
Mn: 0.333 0.667 0.667
Mn: 0.667 0.333 0.333
Pb: 0.000 0.000 0.256
Pb: 0.000 0.000 0.485
Pb: 0.333 0.667 0.152
Pb: 0.333 0.667 0.922
Pb: 0.667 0.333 0.589
Pb: 0.667 0.333 0.819
Se: 0.000 0.000 0.715
Se: 0.333 0.667 0.382
Se: 0.667 0.333 0.049

=====

The following is a DFT calculation (GGA-PBEsol) of an optimized crystal structure of MnPb2Se.

Output
The uncorrected formation energy is 0.063 eV/atom. The density of states at the Fermi level is 1.76 states/eV/f.u. The calculation puts the magnetization at 3.794 μB/f.u.

Lattice parameters (Å, degrees): 4.864 3.611 5.766 90.00 111.34 90.00
Element x y z (fractional)
Mn: 0.000 0.000 0.000
Pb: 0.164 0.000 0.536
Pb: 0.522 0.500 0.145
Se: 0.724 0.500 0.705